Here is an optimized crystal structure of Tb2V2Co15 from Alexandria. Energies are from PBE.

Cell lengths 6.290, 6.290, 6.290 Å; angles 82.87, 82.87, 82.87 degrees
Sites, in units of the cell vectors:
Tb 0.152 0.152 0.152
Tb 0.848 0.848 0.848
V 0.404 0.404 0.404
V 0.596 0.596 0.596
Co 0.000 0.500 0.500
Co 0.155 0.155 0.651
Co 0.155 0.651 0.155
Co 0.208 0.500 0.792
Co 0.208 0.792 0.500
Co 0.349 0.845 0.845
Co 0.500 0.000 0.500
Co 0.500 0.208 0.792
Co 0.500 0.500 0.000
Co 0.500 0.792 0.208
Co 0.651 0.155 0.155
Co 0.792 0.208 0.500
Co 0.792 0.500 0.208
Co 0.845 0.349 0.845
Co 0.845 0.845 0.349

Spin magnetization = 18.218 μB per cell
E_tot = -7.176 eV per atom

***

Here is an optimized crystal structure of Tb2VCo from Alexandria. Energies are from PBE.

Cell lengths 9.615, 9.615, 9.615 Å; angles 20.60, 20.60, 20.60 degrees
Sites, in units of the cell vectors:
Tb 0.104 0.104 0.104
Tb 0.896 0.896 0.896
V 0.000 0.000 0.000
Co 0.500 0.500 0.500

Spin magnetization = 3.581 μB per cell
E_tot = -5.730 eV per atom

***

Here is an optimized crystal structure of Tb2CoW from Alexandria. Energies are from PBE.

Cell lengths 10.029, 10.029, 10.029 Å; angles 17.93, 17.93, 17.93 degrees
Sites, in units of the cell vectors:
Tb 0.097 0.097 0.097
Tb 0.903 0.903 0.903
Co 0.500 0.500 0.500
W 0.000 0.000 0.000

Spin magnetization = 0.458 μB per cell
E_tot = -6.464 eV per atom

***

Here is an optimized crystal structure of TbY2Co2 from Alexandria. Energies are from PBE.

Cell lengths 7.452, 7.452, 4.054 Å; angles 90.00, 90.00, 149.59 degrees
Sites, in units of the cell vectors:
Tb 0.000 0.000 0.000
Y 0.352 0.648 0.500
Y 0.648 0.352 0.500
Co 0.208 0.792 0.000
Co 0.792 0.208 0.000

Spin magnetization = 1.008 μB per cell
E_tot = -6.483 eV per atom

***

Here is an optimized crystal structure of TbY6Co3 from Alexandria. Energies are from PBE.

Cell lengths 8.405, 8.405, 7.284 Å; angles 90.00, 90.00, 93.53 degrees
Sites, in units of the cell vectors:
Tb 0.184 0.816 0.500
Tb 0.816 0.184 0.000
Y 0.000 0.500 0.248
Y 0.000 0.500 0.748
Y 0.167 0.833 0.000
Y 0.215 0.216 0.000
Y 0.216 0.215 0.500
Y 0.493 0.507 0.251
Y 0.500 0.000 0.248
Y 0.500 0.000 0.748
Y 0.507 0.493 0.751
Y 0.784 0.785 0.000
Y 0.785 0.784 0.500
Y 0.833 0.167 0.500
Co 0.000 0.000 0.250
Co 0.000 0.000 0.750
Co 0.252 0.531 0.994
Co 0.469 0.748 0.994
Co 0.531 0.252 0.494
Co 0.748 0.469 0.494

Spin magnetization = 0.000 μB per cell
E_tot = -6.514 eV per atom

***

Here is an optimized crystal structure of Tb2YCo6 from Alexandria. Energies are from PBE.

Cell lengths 6.667, 6.667, 4.059 Å; angles 90.00, 90.00, 120.00 degrees
Sites, in units of the cell vectors:
Tb 0.333 0.667 0.000
Tb 0.667 0.333 0.000
Y 0.000 0.000 0.000
Co 0.000 0.333 0.500
Co 0.000 0.667 0.500
Co 0.333 0.000 0.500
Co 0.333 0.333 0.500
Co 0.667 0.000 0.500
Co 0.667 0.667 0.500

Spin magnetization = 4.388 μB per cell
E_tot = -6.658 eV per atom

***

Here is an optimized crystal structure of TbY2Co2 from Alexandria. Energies are from PBE.

Cell lengths 5.963, 5.963, 5.523 Å; angles 102.64, 102.64, 36.47 degrees
Sites, in units of the cell vectors:
Tb 0.000 0.000 0.000
Y 0.353 0.353 0.421
Y 0.647 0.647 0.579
Co 0.281 0.281 0.901
Co 0.719 0.719 0.099

Spin magnetization = 0.001 μB per cell
E_tot = -6.405 eV per atom

***

Here is an optimized crystal structure of Tb5Y3Co2 from Alexandria. Energies are from PBE.

Cell lengths 9.768, 9.768, 9.768 Å; angles 117.05, 81.59, 133.75 degrees
Sites, in units of the cell vectors:
Tb 0.004 0.250 0.754
Tb 0.123 0.242 0.365
Tb 0.250 0.250 0.000
Tb 0.377 0.742 0.119
Tb 0.496 0.250 0.246
Tb 0.504 0.750 0.754
Tb 0.623 0.258 0.881
Tb 0.750 0.750 0.000
Tb 0.877 0.758 0.635
Tb 0.996 0.750 0.246
Y 0.125 0.756 0.880
Y 0.250 0.750 0.500
Y 0.375 0.256 0.631
Y 0.625 0.744 0.369
Y 0.750 0.250 0.500
Y 0.875 0.244 0.120
Co 0.131 0.497 0.628
Co 0.369 0.997 0.365
Co 0.631 0.003 0.635
Co 0.869 0.503 0.372

Spin magnetization = 0.000 μB per cell
E_tot = -5.699 eV per atom

***

Formation energy from the elements values, unit meV/atom, following the record order: -119.1; 641.1; 866.0; -128.5; -41.0; -173.5; -50.9; -23.7.